# 1
! LiCdCu2 | Alexandria | PBE | relaxed; values from VASP
! V (Å³/atom): 15.2
! Space group: No. 166
! Size of the total moment (μB per cell): 0.00
! Energy relative to the elements (eV/atom): 0.09
! Total DFT energy (no corrections) (eV/cell): -10.65
&SYSTEM
  ibrav = 0, nat = 4, ntyp = 3
/
ATOMIC_SPECIES
Cd 112.41 Cd.upf
Cu 63.55 Cu.upf
Li 6.94 Li.upf
CELL_PARAMETERS angstrom
9.098 0.010 0.006
8.663 2.779 0.006
8.663 1.361 2.424
ATOMIC_POSITIONS angstrom
Cd 19.819 3.113 1.827
Cu 26.283 4.128 2.422
Cu 13.355 2.097 1.231
Li 6.606 1.038 0.609

# 2
! Li2CdCu2 | Alexandria | PBE | relaxed; values from VASP
! Energy above the lowest structure with this stoichiometry (meV/atom): 57
! V (Å³/atom): 14.6
! Space group: No. 127
! Size of the total moment (μB per cell): 0.00
! Energy relative to the elements (eV/atom): 0.03
! Total DFT energy (no corrections) (eV/cell): -25.61
&SYSTEM
  ibrav = 0, nat = 10, ntyp = 3
/
ATOMIC_SPECIES
Li 6.94 Li.upf
Cu 63.55 Cu.upf
Cd 112.41 Cd.upf
CELL_PARAMETERS angstrom
-5.723 3.593 2.602
-4.191 -5.772 -1.246
0.561 -0.959 2.558
ATOMIC_POSITIONS angstrom
Li -5.703 -3.679 -0.129
Li -7.610 -0.568 1.455
Li -4.211 1.500 1.486
Li -2.304 -1.611 -0.099
Cu -3.364 -3.706 0.868
Cu -7.011 -2.992 1.936
Cu -5.989 0.568 3.047
Cu -2.342 -0.146 1.979
Cd 0.000 0.000 0.000
Cd -4.957 -1.090 0.678

# 3
! LiCdCu | Alexandria | PBE | relaxed; values from VASP
! Energy above the lowest structure with this stoichiometry (meV/atom): 32
! V (Å³/atom): 15.9
! Space group: No. 38
! Size of the total moment (μB per cell): 0.00
! Energy relative to the elements (eV/atom): -0.08
! Total DFT energy (no corrections) (eV/cell): -28.70
&SYSTEM
  ibrav = 0, nat = 12, ntyp = 3
/
ATOMIC_SPECIES
Li 6.94 Li.upf
Cd 112.41 Cd.upf
Cu 63.55 Cu.upf
CELL_PARAMETERS angstrom
4.132 0.000 0.000
0.000 4.234 0.000
0.000 0.000 10.889
ATOMIC_POSITIONS angstrom
Li 0.000 0.000 2.829
Li 0.000 2.117 8.273
Li 2.066 0.000 0.955
Li 2.066 2.117 6.399
Cd 0.000 0.000 10.173
Cd 0.000 2.117 4.728
Cd 2.066 0.000 8.146
Cd 2.066 2.117 2.702
Cu 0.000 0.000 6.359
Cu 0.000 2.117 0.914
Cu 2.066 0.000 4.730
Cu 2.066 2.117 10.174

# 4
! Li2CdCu2 | Alexandria | PBE | relaxed; values from VASP
! Energy above the lowest structure with this stoichiometry (meV/atom): 0
! V (Å³/atom): 15.2
! Space group: No. 127
! Size of the total moment (μB per cell): 0.00
! Energy relative to the elements (eV/atom): -0.03
! Total DFT energy (no corrections) (eV/cell): -26.18
&SYSTEM
  ibrav = 0, nat = 10, ntyp = 3
/
ATOMIC_SPECIES
Li 6.94 Li.upf
Cu 63.55 Cu.upf
Cd 112.41 Cd.upf
CELL_PARAMETERS angstrom
-5.778 -0.483 3.885
3.300 -4.326 4.371
0.944 2.446 1.708
ATOMIC_POSITIONS angstrom
Li 1.699 -1.760 4.448
Li -0.665 -2.688 7.084
Li -3.233 -0.602 5.516
Li -0.868 0.326 2.879
Cu 0.719 -3.970 5.289
Cu -3.001 -3.122 6.130
Cu -3.196 -0.838 2.966
Cu 0.524 -1.686 2.125
Cd 0.000 0.000 0.000
Cd -1.239 -2.404 4.128